No. 1
{
  "formula": "LaFePd",
  "functional": "PBE",
  "state": "optimized geometry",
  "lattice_angstrom": [[0.000, 3.320, 3.320], [3.320, 0.000, 3.320], [3.320, 3.320, 0.000]],
  "species": ["Fe", "La", "Pd"],
  "fractional_positions": [[0.250, 0.250, 0.250], [0.750, 0.750, 0.750], [0.000, 0.000, 0.000]],
  "final_energy_ev_per_atom": -6.07,
  "formation_enthalpy_0k_kcal_per_mol_atoms": 1.53
}

---

No. 2
{
  "formula": "LaFeSi2Pd",
  "functional": "PBE",
  "state": "optimized geometry",
  "lattice_angstrom": [[-2.051, 2.051, 5.108], [2.051, -2.051, 5.108], [2.051, 2.051, -5.108]],
  "species": ["Si", "Si", "Pd", "Fe", "La"],
  "fractional_positions": [[0.623, 0.123, 0.500], [0.877, 0.377, 0.500], [0.500, 0.500, 0.000], [0.000, 0.000, 0.000], [0.250, 0.750, 0.500]],
  "final_energy_ev_per_atom": -6.56
}

---

No. 3
{
  "formula": "La2FeSi4Pd",
  "functional": "PBE",
  "state": "optimized geometry",
  "lattice_angstrom": [[4.135, 0.000, 0.000], [0.000, 2.134, 8.556], [0.000, -2.134, 8.556]],
  "species": ["Si", "Si", "Si", "Fe", "La", "Si", "Pd", "La"],
  "fractional_positions": [[0.000, 0.319, 0.319], [0.500, 0.682, 0.682], [0.500, 0.537, 0.537], [0.000, 0.750, 0.750], [0.500, 0.896, 0.896], [0.000, 0.464, 0.464], [0.500, 0.249, 0.249], [0.000, 0.103, 0.103]],
  "final_energy_ev_per_atom": -6.36
}

---

No. 4
{
  "formula": "La2SmFe2Si4Pd2",
  "functional": "PBE",
  "state": "optimized geometry",
  "lattice_angstrom": [[9.411, -7.534, 3.467], [8.590, -4.147, 8.147], [-10.920, 3.893, -4.790]],
  "species": ["Fe", "La", "Si", "Si", "La", "Si", "Pd", "Fe", "Pd", "Si", "Sm"],
  "fractional_positions": [[0.750, 0.750, 0.000], [0.347, 0.847, 0.500], [0.452, 0.452, 0.000], [0.207, 0.707, 0.500], [0.653, 0.153, 0.500], [0.793, 0.293, 0.500], [0.100, 0.600, 0.500], [0.250, 0.250, 0.000], [0.900, 0.400, 0.500], [0.548, 0.548, 0.000], [0.000, 0.000, 0.000]],
  "final_energy_ev_per_atom": -6.54
}

---

No. 5
{
  "formula": "LaPmFe",
  "functional": "PBE",
  "state": "optimized geometry",
  "lattice_angstrom": [[-2.746, -3.524, -1.823], [-4.607, 0.875, -1.138], [-1.355, 0.147, -4.629]],
  "species": ["Pm", "La", "Fe"],
  "fractional_positions": [[0.750, 0.750, 0.750], [0.250, 0.250, 0.250], [0.000, 0.000, 0.000]],
  "final_energy_ev_per_atom": -5.76,
  "formation_enthalpy_0k_kcal_per_mol_atoms": 5.38,
  "de_polymorph_ev_per_atom": 0.000
}

---

No. 6
{
  "formula": "LaPm3Fe",
  "functional": "PBE",
  "state": "optimized geometry",
  "lattice_angstrom": [[7.151, 0.000, 0.000], [0.000, 3.491, 6.046], [0.000, -3.491, 6.046]],
  "species": ["Fe", "La", "Fe", "La", "Pm", "Pm", "Pm", "Pm", "Pm", "Pm"],
  "fractional_positions": [[0.500, 0.000, 0.000], [0.000, 0.333, 0.333], [0.000, 0.000, 0.000], [0.500, 0.333, 0.333], [0.750, 0.333, 0.819], [0.250, 0.333, 0.848], [0.250, 0.848, 0.819], [0.250, 0.819, 0.333], [0.750, 0.848, 0.333], [0.750, 0.819, 0.848]],
  "final_energy_ev_per_atom": -5.32,
  "formation_enthalpy_0k_kcal_per_mol_atoms": 4.09
}